The following is a DFT calculation (GGA-PBE) of a relaxed structure of KLi3Fe.

Computed properties:
The magnetic moment comes out at 2.58 μB per formula unit. Its distance to the lowest polymorph of the same formula is 61.6 kJ/mol of atoms. Its formation enthalpy at 0 K is 1233.7 meV/atom.

a b c (Å): 4.9186 4.9186 4.9186
angles (deg): 90.00 90.00 90.00
Fractional positions:
K1 0.0000 0.0000 0.0000
Li1 0.0000 0.0000 0.5000
Li2 0.0000 0.5000 0.0000
Li3 0.5000 0.0000 0.0000
Fe1 0.5000 0.5000 0.5000